Material: Mn3CrRh
Method: DFT, PBE
State: optimized geometry

Output
DOS at the Fermi energy, states/eV/f.u.: 7.64
Calculated total energy, eV per atom: -7.726
Magnetization, μB/f.u.: 0.0
Formation energy from the elements, eV/atom: 1.17
Symmetry: No. 221
Calculated volume, Å³ per atom: 13.77

Cell and atoms, written as POSCAR:
```
Mn3CrRh
1.0
-1.260 3.214 2.210
-0.715 -2.474 3.189
3.834 0.595 1.321
Rh Mn Cr
1 3 1
Cartesian
0.929 0.667 3.360 Rh
1.917 0.297 0.661 Mn
-0.630 1.607 1.105 Mn
-0.358 -1.237 1.594 Mn
0.000 0.000 0.000 Cr
```